[1]
The following is a DFT calculation (PBE) of an optimized crystal structure of Ba2BeRu.

Calculated values
**E_tot**: -3.91 eV per atom
**Formation energy**: 117 kJ/mol of formula units
**Calculated density**: 5.80 g/cm³

Lattice parameters (Å, degrees): 3.4367 3.4367 9.3242 90.00 90.00 90.00
Closest atoms and distances in Å follow each position.
Space group P4mm (No. 99)
One atom of each set of equivalent atoms:
Ba 0.0000 0.0000 0.0000  1 Be 2.90
Ba 0.5000 0.5000 0.4348  1 Ru 2.77
Be 0.0000 0.0000 0.6891  4 Ru 2.46
Ru 0.5000 0.5000 0.7317  4 Be 2.46

---

[2]
The following is a DFT calculation (PBE) of an optimized crystal structure of BaBeRu3.

Calculated values
**E_tot**: -5.93 eV per atom
**Formation energy**: 370 kJ/mol of formula units
**Calculated density**: 8.50 g/cm³

Lattice parameters (Å, degrees): 4.4455 4.4455 4.4455 90.00 90.00 90.00
Closest atoms and distances in Å follow each position.
Space group Pm-3m (No. 221)
One atom of each set of equivalent atoms:
Ba 0.0000 0.0000 0.0000  12 Ru 3.14
Be 0.5000 0.5000 0.5000  6 Ru 2.22
Ru 0.0000 0.5000 0.5000  2 Be 2.22

---

[3]
The following is a DFT calculation (PBE) of an optimized crystal structure of Ba2BeRu.

Calculated values
**E_tot**: -3.46 eV per atom
**Formation energy**: 291 kJ/mol of formula units
**Calculated density**: 5.60 g/cm³

Lattice parameters (Å, degrees): 3.7813 3.8174 7.9024 90.00 90.00 90.00
Closest atoms and distances in Å follow each position.
Space group Pmmm (No. 47)
One atom of each set of equivalent atoms:
Ba 0.0000 0.0000 0.2350  4 Ru 3.27, 4 Be 3.41
Be 0.5000 0.5000 0.5000  8 Ba 3.41, 2 Be 3.78
Ru 0.5000 0.5000 0.0000  8 Ba 3.27

---

[4]
The following is a DFT calculation (PBE) of an optimized crystal structure of BaBe3Ru.

Calculated values
**E_tot**: -4.29 eV per atom
**Formation energy**: 91 kJ/mol of formula units
**Calculated density**: 4.80 g/cm³

Lattice parameters (Å, degrees): 4.5112 4.5112 4.5112 90.00 90.00 90.00
Closest atoms and distances in Å follow each position.
Space group Pm-3m (No. 221)
One atom of each set of equivalent atoms:
Ba 0.0000 0.0000 0.0000  12 Be 3.19
Be 0.0000 0.5000 0.5000  2 Ru 2.26
Ru 0.5000 0.5000 0.5000  6 Be 2.26

---

[5]
The following is a DFT calculation (PBE) of an optimized crystal structure of Ba2BeRu.

Calculated values
**E_tot**: -3.95 eV per atom
**Formation energy**: 100 kJ/mol of formula units
**Calculated density**: 4.50 g/cm³

Lattice parameters (Å, degrees): 4.1058 4.5088 15.3453 90.00 90.00 90.00
Closest atoms and distances in Å follow each position.
Space group Imm2 (No. 44)
One atom of each set of equivalent atoms:
Ba 0.0000 0.0000 0.0000  2 Be 3.23, 4 Ru 3.41
Ba 0.0000 0.5000 0.2622  2 Ru 3.09, 4 Be 3.33
Be 0.0000 0.5000 0.8496  2 Ru 2.19
Ru 0.0000 0.0000 0.4001  2 Be 2.19

---

[6]
The following is a DFT calculation (PBE) of an optimized crystal structure of Ba2BeRu.

Calculated values
**E_tot**: -3.26 eV per atom
**Formation energy**: 367 kJ/mol of formula units
**Calculated density**: 5.08 g/cm³

Lattice parameters (Å, degrees): 8.3540 3.6487 8.3852 90.00 99.95 90.00
Closest atoms and distances in Å follow each position.
Space group C2/m (No. 12)
One atom of each set of equivalent atoms:
Ba 0.2443 0.0000 0.2250  3 Ru 3.08-3.12, 3 Be 3.33-3.39
Be 0.0000 0.0000 0.5000  6 Ba 3.33-3.39, 2 Be 3.65
Ru 0.0000 0.5000 0.0000  6 Ba 3.08-3.12

---

[7]
The following is a DFT calculation (PBE) of an optimized crystal structure of Ba2BeRu.

Calculated values
**E_tot**: -4.10 eV per atom
**Formation energy**: 43 kJ/mol of formula units
**Calculated density**: 4.90 g/cm³

Lattice parameters (Å, degrees): 7.2482 4.1831 8.9044 90.00 105.12 90.00
Closest atoms and distances in Å follow each position.
Space group Cm (No. 8)
One atom of each set of equivalent atoms:
Ba 0.0000 0.0000 0.0000  3 Ru 3.22-3.23, 3 Be 3.22-3.23
Ba 0.1597 0.0000 0.4973  3 Ru 3.23, 3 Be 3.23
Be 0.4134 0.0000 0.2484  3 Ru 2.42
Ru 0.2469 0.5000 0.2484  3 Be 2.42

---

[8]
The following is a DFT calculation (PBE) of an optimized crystal structure of BaBe4Ru.

Calculated values
**E_tot**: -3.76 eV per atom
**Formation energy**: 340 kJ/mol of formula units
**Calculated density**: 5.44 g/cm³

Lattice parameters (Å, degrees): 6.9468 6.9468 6.9468 90.00 90.00 90.00
Closest atoms and distances in Å follow each position.
Space group F-43m (No. 216)
One atom of each set of equivalent atoms:
Ba 0.0000 0.0000 0.0000  12 Be 2.90, 4 Ru 3.01
Be 0.1181 0.1181 0.6181  6 Be 2.32-2.59
Ru 0.2500 0.2500 0.2500  12 Be 2.87, 4 Ba 3.01

---

[9]
The following is a DFT calculation (PBE) of an optimized crystal structure of BaBe3Ru.

Calculated values
**E_tot**: -1.76 eV per atom
**Formation energy**: 1312 kJ/mol of formula units
**Calculated density**: 4.02 g/cm³

Lattice parameters (Å, degrees): 4.7864 4.7864 4.7864 90.00 90.00 90.00
Closest atoms and distances in Å follow each position.
Space group Pm-3m (No. 221)
One atom of each set of equivalent atoms:
Ba 0.0000 0.0000 0.0000  6 Be 2.39
Be 0.0000 0.0000 0.5000  2 Ba 2.39
Ru 0.5000 0.5000 0.5000  12 Be 3.38

---

[10]
The following is a DFT calculation (PBE) of an optimized crystal structure of Ba2BeRu.

Calculated values
**E_tot**: -3.24 eV per atom
**Formation energy**: 377 kJ/mol of formula units
**Calculated density**: 5.00 g/cm³

Lattice parameters (Å, degrees): 4.0697 4.0697 26.7258 90.00 90.00 120.00
Closest atoms and distances in Å follow each position.
Space group R-3m (No. 166, hexagonal axes)
One atom of each set of equivalent atoms:
Ba 0.0000 0.0000 0.2429  3 Ru 3.11, 3 Be 3.37
Be 0.0000 0.0000 0.0000  6 Ba 3.37
Ru 0.0000 0.0000 0.5000  6 Ba 3.11

---

[11]
The following is a DFT calculation (PBE) of an optimized crystal structure of BaBeRu3.

Calculated values
**E_tot**: -3.72 eV per atom
**Formation energy**: 1437 kJ/mol of formula units
**Calculated density**: 6.02 g/cm³

Lattice parameters (Å, degrees): 4.9863 4.9863 4.9863 90.00 90.00 90.00
Closest atoms and distances in Å follow each position.
Space group Pm-3m (No. 221)
One atom of each set of equivalent atoms:
Ba 0.0000 0.0000 0.0000  6 Ru 2.49
Be 0.5000 0.5000 0.5000  12 Ru 3.53
Ru 0.0000 0.0000 0.5000  2 Ba 2.49

---

[12]
The following is a DFT calculation (PBE) of an optimized crystal structure of Ba2BeRu.

Calculated values
**E_tot**: -3.98 eV per atom
**Formation energy**: 91 kJ/mol of formula units
**Calculated density**: 5.07 g/cm³

Lattice parameters (Å, degrees): 4.1523 4.6743 12.9913 90.00 90.00 90.00
Closest atoms and distances in Å follow each position.
Space group Amm2 (No. 38)
One atom of each set of equivalent atoms:
Ba 0.0000 0.0000 0.0000  2 Be 3.23, 4 Ru 3.43
Ba 0.5000 0.0000 0.2674  2 Ru 3.11, 4 Be 3.37
Be 0.0000 0.0000 0.6713  2 Ru 2.23
Ru 0.5000 0.0000 0.6092  2 Be 2.23

---

[13]
The following is a DFT calculation (PBE) of an optimized crystal structure of Ba2BeRu.

Calculated values
**E_tot**: -3.86 eV per atom
**Formation energy**: 136 kJ/mol of formula units
**Calculated density**: 4.35 g/cm³

Lattice parameters (Å, degrees): 11.5387 11.5387 4.4093 90.00 90.00 90.00
Closest atoms and distances in Å follow each position.
Space group I-42d (No. 122)
One atom of each set of equivalent atoms:
Ba 0.0491 0.2500 0.1250  2 Ru 2.99
Be 0.0000 0.0000 0.5000  2 Ru 2.20
Ru 0.0000 0.0000 0.0000  2 Be 2.20

---

[14]
The following is a DFT calculation (PBE) of an optimized crystal structure of Ba2ScBeRu.

Calculated values
**E_tot**: -3.56 eV per atom
**Formation energy**: 517 kJ/mol of formula units
**Calculated density**: 4.30 g/cm³

Lattice parameters (Å, degrees): 5.7390 5.7390 5.0437 90.00 90.00 90.00
Closest atoms and distances in Å follow each position.
Space group P4/mmm (No. 123)
One atom of each set of equivalent atoms:
Ba 0.0000 0.5000 0.0000  2 Be 2.87
Sc 0.0000 0.0000 0.5000  2 Be 2.52
Be 0.0000 0.0000 0.0000  2 Sc 2.52
Ru 0.5000 0.5000 0.5000  8 Ba 3.82, 4 Sc 4.06

---

[15]
The following is a DFT calculation (PBE) of an optimized crystal structure of BaBe2RuSe.

Calculated values
**E_tot**: -3.42 eV per atom
**Uncorrected formation energy**: 1.005 eV per atom
**Calculated density**: 5.05 g/cm³

Lattice parameters (Å, degrees): 4.2863 4.2863 6.0048 90.00 90.00 90.00
Closest atoms and distances in Å follow each position.
Space group P4/mmm (No. 123)
One atom of each set of equivalent atoms:
Ba 0.0000 0.0000 0.0000  2 Se 3.00, 4 Ru 3.03
Be 0.0000 0.5000 0.5000  2 Se 2.14
Ru 0.5000 0.5000 0.0000  4 Ba 3.03
Se 0.0000 0.0000 0.5000  4 Be 2.14

---

[16]
The following is a DFT calculation (PBE) of an optimized crystal structure of Ba2BeZnRu.

Calculated values
**E_tot**: -2.79 eV per atom
**Formation energy**: 403 kJ/mol of formula units
**Calculated density**: 4.31 g/cm³

Lattice parameters (Å, degrees): 6.1233 6.1233 4.6258 90.00 90.00 90.00
Closest atoms and distances in Å follow each position.
Space group P4/mmm (No. 123)
One atom of each set of equivalent atoms:
Ba 0.0000 0.5000 0.0000  2 Zn 3.06
Be 0.0000 0.0000 0.5000  8 Ba 3.84
Zn 0.5000 0.5000 0.0000  2 Ru 2.31
Ru 0.5000 0.5000 0.5000  2 Zn 2.31

---

[17]
The following is a DFT calculation (PBE) of an optimized crystal structure of Ba2ZrBeRu.

Calculated values
**E_tot**: -3.48 eV per atom
**Formation energy**: 773 kJ/mol of formula units
**Calculated density**: 4.58 g/cm³

Lattice parameters (Å, degrees): 6.1229 6.1229 4.6072 90.00 90.00 90.00
Closest atoms and distances in Å follow each position.
Space group P4/mmm (No. 123)
One atom of each set of equivalent atoms:
Ba 0.0000 0.5000 0.0000  2 Zr 3.06
Zr 0.0000 0.0000 0.0000  2 Be 2.30
Be 0.0000 0.0000 0.5000  2 Zr 2.30
Ru 0.5000 0.5000 0.5000  8 Ba 3.83

---

[18]
The following is a DFT calculation (PBE) of an optimized crystal structure of Ba2BeS2.

Calculated values
**E_tot**: -4.24 eV per atom
**Uncorrected formation energy**: -1.072 eV per atom
**Calculated density**: 3.20 g/cm³

Lattice parameters (Å, degrees): 6.3067 6.3067 9.0663 90.00 90.00 90.00
Closest atoms and distances in Å follow each position.
Space group I4/mmm (No. 139)
One atom of each set of equivalent atoms:
Ba 0.0000 0.5000 0.2500  4 S 3.17
Be 0.0000 0.0000 0.0000  2 S 1.95
S 0.0000 0.0000 0.2150  1 Be 1.95

---

[19]
The following is a DFT calculation (PBE) of an optimized crystal structure of Ba3BeS4.

Calculated values
**E_tot**: -4.97 eV per atom
**Uncorrected formation energy**: -1.723 eV per atom
**Calculated density**: 4.25 g/cm³

Lattice parameters (Å, degrees): 8.7468 10.7740 9.1099 90.00 90.00 90.00
Closest atoms and distances in Å follow each position.
Space group Pnma (No. 62)
One atom of each set of equivalent atoms:
Ba 0.0363 0.0490 0.2037  6 S 3.05-3.38
Ba 0.1249 0.7500 0.4169  5 S 3.04-3.29
Be 0.2126 0.7500 0.9822  4 S 2.14-2.19
S 0.0130 0.2500 0.9196  1 Be 2.17
S 0.1788 0.0777 0.5347  1 Be 2.14
S 0.2032 0.7500 0.7424  1 Be 2.19

---

[20]
The following is a DFT calculation (PBE) of an optimized crystal structure of BaBeS3.

Calculated values
**E_tot**: -2.66 eV per atom
**Uncorrected formation energy**: 0.946 eV per atom
**Calculated density**: 1.83 g/cm³

Lattice parameters (Å, degrees): 6.0328 6.0328 6.0328 90.00 90.00 90.00
Closest atoms and distances in Å follow each position.
Space group Pm-3m (No. 221)
One atom of each set of equivalent atoms:
Ba 0.0000 0.0000 0.0000  6 S 3.02
Be 0.5000 0.5000 0.5000  12 S 4.27
S 0.0000 0.0000 0.5000  2 Ba 3.02